Here is a geometry-optimized Hf4TiC5 structure from the Alexandria database. Energies are from PBE-GGA.

```
Hf4TiC5
1.0
-3.633 3.633 2.298
3.633 -3.633 2.298
3.633 3.633 -2.298
Hf Ti C
4 1 5
Cartesian
5.096 0.726 0.000 Hf
0.726 2.170 0.000 Hf
2.907 1.463 2.298 Hf
-1.463 2.907 2.298 Hf
0.000 0.000 2.298 Ti
0.000 0.000 0.000 C
2.916 1.488 0.000 C
2.145 -0.717 2.298 C
1.488 4.350 0.000 C
0.717 2.145 2.298 C
```

Values from the calculation:
final energy: -10.270 eV/atom
space group: I4/m
ΔH_f (0 K): -0.8872 eV per atom
Fermi-level density of states: 1.3 states/eV per cell
volume: 12.1 Å³/atom
total magnetization: 0.0 μB per formula unit